SrLiAl2Cu after structural relaxation, computed with PBE.

Space group: No. 123
Formation energy: -0.08 eV/atom
Total moment: 0.00 μB/f.u.
Electronic total energy: -15.597 eV per cell

Unit cell a=4.710 b=4.710 c=4.930 alpha=90.00 beta=90.00 gamma=90.00
Atoms (fractional coordinates):
Sr1 0.500 0.500 0.500
Al1 0.000 0.500 0.000
Al2 0.500 0.000 0.000
Cu1 0.000 0.000 0.000
Li1 0.000 0.000 0.500

=====

LiTbAlCu after structural relaxation, computed with PBE.

Space group: No. 216
Formation energy: -0.33 eV/atom
Total moment: 0.00 μB/f.u.
Electronic total energy: -15.690 eV per cell

Unit cell a=4.619 b=4.619 c=4.619 alpha=60.00 beta=60.00 gamma=60.00
Atoms (fractional coordinates):
Tb1 0.000 0.000 0.000
Al1 0.500 0.500 0.500
Cu1 0.250 0.250 0.250
Li1 0.750 0.750 0.750

=====

LiTbAl3Cu after structural relaxation, computed with PBE.

Space group: No. 63
Formation energy: -0.14 eV/atom
Total moment: 0.00 μB/f.u.
Electronic total energy: -45.435 eV per cell

Unit cell a=5.956 b=5.948 c=6.986 alpha=115.20 beta=90.00 gamma=90.00
Atoms (fractional coordinates):
Li1 0.250 0.350 0.700
Li2 0.750 0.650 0.300
Tb1 0.750 0.293 0.587
Tb2 0.250 0.707 0.413
Al1 0.250 0.135 0.271
Al2 0.000 0.284 0.000
Al3 0.500 0.716 0.000
Al4 0.500 0.284 0.000
Al5 0.000 0.716 0.000
Al6 0.750 0.865 0.729
Cu1 0.250 0.922 0.844
Cu2 0.750 0.078 0.156

=====

LiTb2AlCu6 after structural relaxation, computed with PBE.

Space group: No. 12
Formation energy: -0.10 eV/atom
Total moment: 0.00 μB/f.u.
Electronic total energy: -40.512 eV per cell

Unit cell a=8.391 b=4.998 c=6.385 alpha=67.00 beta=49.56 gamma=90.04
Atoms (fractional coordinates):
Li1 0.500 0.500 0.000
Tb1 0.205 0.743 0.513
Tb2 0.795 0.257 0.487
Al1 0.000 0.000 0.000
Cu1 0.254 0.754 0.992
Cu2 0.747 0.745 0.008
Cu3 0.429 0.252 0.497
Cu4 0.746 0.246 0.008
Cu5 0.253 0.255 0.992
Cu6 0.571 0.748 0.503

=====

LiAl2CuTe4 after structural relaxation, computed with PBE.

Space group: No. 42
Total moment: 0.00 μB/f.u.
Electronic total energy: -30.107 eV per cell
Uncorrected formation energy: -4.0 eV per formula unit

Unit cell a=6.078 b=6.078 c=7.613 alpha=113.54 beta=113.54 gamma=89.99
Atoms (fractional coordinates):
Li1 0.000 0.000 0.999
Al1 0.750 0.250 0.500
Al2 0.250 0.750 0.500
Cu1 0.501 0.501 0.001
Te1 0.619 0.619 0.752
Te2 0.381 0.867 0.248
Te3 0.867 0.381 0.248
Te4 0.134 0.134 0.752

=====

LiTh2AlCu6 after structural relaxation, computed with PBE.

Space group: No. 12
Formation energy: -0.06 eV/atom
Total moment: 0.00 μB/f.u.
Electronic total energy: -45.646 eV per cell

Unit cell a=8.440 b=5.004 c=6.419 alpha=67.03 beta=50.24 gamma=89.98
Atoms (fractional coordinates):
Li1 0.500 0.500 0.000
Th1 0.286 0.746 0.508
Th2 0.714 0.254 0.492
Al1 0.000 0.000 0.000
Cu1 0.243 0.742 0.016
Cu2 0.757 0.759 0.984
Cu3 0.082 0.251 0.497
Cu4 0.757 0.258 0.984
Cu5 0.243 0.241 0.016
Cu6 0.918 0.749 0.503